Crystalline ScAsH2Br at its relaxed geometry, computed with PBEsol.

The structure in POSCAR format:
```
ScAsH2Br
1.0
3.631 0.000 0.000
0.000 3.631 0.000
0.000 0.000 7.014
Sc H As Br
1 2 1 1
direct
0.500 0.500 0.500
0.000 0.500 0.000
0.500 0.000 0.000
0.000 0.000 0.000
0.000 0.000 0.500
```

Values from the calculation:
- Raw total energy: -19.34 eV per cell